This record from Alexandria describes crystalline TaAlSb2 at its relaxed geometry. The functional is PBE-GGA.

Unit cell a=5.5884 b=5.5884 c=5.5884 alpha=142.08 beta=128.51 gamma=65.70
Sites, in units of the cell vectors:
Sb 0.0158 0.0158 0.0000
Sb 0.7482 0.2482 0.5000
Al 0.2512 0.7512 0.5000
Ta 0.4848 0.4848 0.0000

Properties
- DOS(E_F) (states/eV per atom) = 0.6070
- E_tot (eV per atom) = -5.687
- total magnetic moment (μB per formula unit) = 0.000
- uncorrected formation energy (eV per atom) = 0.273